First-principles (PBE-GGA) data for an optimized crystal structure of Dy2TlZn, as listed in Alexandria.

Output
Its magnetic moment is 0.00 μB per formula unit. For the formation energy, the calculation gives -0.351 eV/atom. The density comes out at 9.90 g/cm³.

Structure (CIF):
```
data_Dy2TlZn
_chemical_formula_sum 'Dy2 Tl1 Zn1'
_cell_length_a 3.666
_cell_length_b 3.666
_cell_length_c 7.419
_cell_angle_alpha 90.00
_cell_angle_beta 90.00
_cell_angle_gamma 90.00
_space_group_name_H-M_alt 'P 4/m m m'
_space_group_IT_number 123
_space_group_name_Hall '-P 4 2'
loop_
_atom_site_label
_atom_site_type_symbol
_atom_site_fract_x
_atom_site_fract_y
_atom_site_fract_z
_atom_site_occupancy
Dy1 Dy 0.000 0.000 0.229 1
Tl1 Tl 0.500 0.500 0.500 1
Zn1 Zn 0.500 0.500 0.000 1
```

***

First-principles (PBE-GGA) data for an optimized crystal structure of HfMnNi, as listed in Alexandria.

Output
Its magnetic moment is 0.33 μB per formula unit. For the formation energy, the calculation gives 0.085 eV/atom. The density comes out at 11.00 g/cm³.

Structure (CIF):
```
data_HfMnNi
_chemical_formula_sum 'Hf16 Mn16 Ni16'
_cell_length_a 4.855
_cell_length_b 8.468
_cell_length_c 17.161
_cell_angle_alpha 90.00
_cell_angle_beta 90.00
_cell_angle_gamma 90.00
_space_group_name_H-M_alt 'F d d d'
_space_group_IT_number 70
loop_
_space_group_symop_operation_xyz
'x,y,z'
'-x,-y,-z'
'-x+1/4,-y+1/4,z'
'x+1/4,y+1/4,-z'
'x,-y+1/4,-z+1/4'
'-x,y+1/4,z+1/4'
'-x+1/4,y,-z+1/4'
'x+1/4,-y,z+1/4'
'x,y+1/2,z+1/2'
'-x,-y+1/2,-z+1/2'
'-x+1/4,-y+3/4,z+1/2'
'x+1/4,y+3/4,-z+1/2'
'x,-y+3/4,-z+3/4'
'-x,y+3/4,z+3/4'
'-x+1/4,y+1/2,-z+3/4'
'x+1/4,-y+1/2,z+3/4'
'x+1/2,y,z+1/2'
'-x+1/2,-y,-z+1/2'
'-x+3/4,-y+1/4,z+1/2'
'x+3/4,y+1/4,-z+1/2'
'x+1/2,-y+1/4,-z+3/4'
'-x+1/2,y+1/4,z+3/4'
'-x+3/4,y,-z+3/4'
'x+3/4,-y,z+3/4'
'x+1/2,y+1/2,z'
'-x+1/2,-y+1/2,-z'
'-x+3/4,-y+3/4,z'
'x+3/4,y+3/4,-z'
'x+1/2,-y+3/4,-z+1/4'
'-x+1/2,y+3/4,z+1/4'
'-x+3/4,y+1/2,-z+1/4'
'x+3/4,-y+1/2,z+1/4'
loop_
_atom_site_label
_atom_site_type_symbol
_atom_site_fract_x
_atom_site_fract_y
_atom_site_fract_z
_atom_site_occupancy
Hf1 Hf 0.125 0.294 0.125 1
Mn1 Mn 0.125 0.125 0.564 1
Ni1 Ni 0.125 0.125 0.001 1
```

***

First-principles (PBE-GGA) data for an optimized crystal structure of Ac2TbPrSb4, as listed in Alexandria.

Output
Its magnetic moment is 0.00 μB per formula unit. The calculation puts the formation energy from raw total energies at -1.175 eV per atom. The density comes out at 7.28 g/cm³.

Structure (CIF):
```
data_Ac2TbPrSb4
_chemical_formula_sum 'Ac2 Tb1 Pr1 Sb4'
_cell_length_a 8.037
_cell_length_b 4.644
_cell_length_c 8.041
_cell_angle_alpha 90.00
_cell_angle_beta 109.45
_cell_angle_gamma 90.00
_space_group_name_H-M_alt 'P 1 2/m 1'
_space_group_IT_number 10
loop_
_space_group_symop_operation_xyz
'x,y,z'
'-x,-y,-z'
'-x,y,-z'
'x,-y,z'
loop_
_atom_site_label
_atom_site_type_symbol
_atom_site_fract_x
_atom_site_fract_y
_atom_site_fract_z
_atom_site_occupancy
Ac1 Ac 0.000 0.000 0.000 1
Ac2 Ac 0.500 0.500 0.000 1
Tb1 Tb 0.000 0.500 0.500 1
Pr1 Pr 0.500 0.000 0.500 1
Sb1 Sb 0.239 0.000 0.731 1
Sb2 Sb 0.251 0.500 0.266 1
```

***

First-principles (PBE-GGA) data for an optimized crystal structure of Na3CaTl2O6, as listed in Alexandria.

Output
Its magnetic moment is 1.11 μB per formula unit. The calculation puts the formation energy from raw total energies at -1.342 eV per atom. The density comes out at 6.04 g/cm³.

Structure (CIF):
```
data_Na3CaTl2O6
_chemical_formula_sum 'Na6 Ca2 Tl4 O12'
_cell_length_a 5.882
_cell_length_b 10.212
_cell_length_c 5.954
_cell_angle_alpha 90.00
_cell_angle_beta 109.18
_cell_angle_gamma 90.00
_space_group_name_H-M_alt 'C 1 2/m 1'
_space_group_IT_number 12
loop_
_space_group_symop_operation_xyz
'x,y,z'
'-x,-y,-z'
'-x,y,-z'
'x,-y,z'
'x+1/2,y+1/2,z'
'-x+1/2,-y+1/2,-z'
'-x+1/2,y+1/2,-z'
'x+1/2,-y+1/2,z'
loop_
_atom_site_label
_atom_site_type_symbol
_atom_site_fract_x
_atom_site_fract_y
_atom_site_fract_z
_atom_site_occupancy
Na1 Na 0.000 0.000 0.000 1
Na2 Na 0.000 0.331 0.000 1
Ca1 Ca 0.000 0.500 0.500 1
Tl1 Tl 0.000 0.166 0.500 1
O1 O 0.233 0.000 0.728 1
O2 O 0.248 0.328 0.725 1
```

***

First-principles (PBE-GGA) data for an optimized crystal structure of MgTlTc2, as listed in Alexandria.

Output
Its magnetic moment is 0.00 μB per formula unit. For the energy relative to the lowest polymorph listed for this composition, the calculation gives 259 meV per atom. For the formation energy, the calculation gives 0.424 eV/atom. The density comes out at 10.44 g/cm³.

Structure (CIF):
```
data_MgTlTc2
_chemical_formula_sum 'Mg2 Tl2 Tc4'
_cell_length_a 4.536
_cell_length_b 4.536
_cell_length_c 6.565
_cell_angle_alpha 90.00
_cell_angle_beta 90.00
_cell_angle_gamma 90.00
_space_group_name_H-M_alt 'I -4 m 2'
_space_group_IT_number 119
_space_group_name_Hall 'I -4 -2'
loop_
_atom_site_label
_atom_site_type_symbol
_atom_site_fract_x
_atom_site_fract_y
_atom_site_fract_z
_atom_site_occupancy
Mg1 Mg 0.000 0.000 0.000 1
Tl1 Tl 0.000 0.500 0.250 1
Tc1 Tc 0.000 0.000 0.500 1
Tc2 Tc 0.000 0.500 0.750 1
```

***

First-principles (PBE-GGA) data for an optimized crystal structure of La5TbNdDy2, as listed in Alexandria.

Output
Its magnetic moment is 0.00 μB per formula unit. For the formation energy, the calculation gives 0.278 eV/atom. The density comes out at 6.79 g/cm³.

Structure (CIF):
```
data_La5TbNdDy2
_chemical_formula_sum 'La20 Tb4 Nd4 Dy8'
_cell_length_a 9.500
_cell_length_b 9.500
_cell_length_c 14.343
_cell_angle_alpha 90.00
_cell_angle_beta 90.00
_cell_angle_gamma 90.00
_space_group_name_H-M_alt 'I 4/m c m'
_space_group_IT_number 140
_space_group_name_Hall '-I 4 2c'
loop_
_atom_site_label
_atom_site_type_symbol
_atom_site_fract_x
_atom_site_fract_y
_atom_site_fract_z
_atom_site_occupancy
La1 La 0.000 0.000 0.000 1
La2 La 0.201 0.299 0.135 1
Tb1 Tb 0.000 0.500 0.250 1
Nd1 Nd 0.000 0.000 0.250 1
Dy1 Dy 0.109 0.391 0.500 1
```

***

First-principles (PBE-GGA) data for an optimized crystal structure of RbTePbI2, as listed in Alexandria.

Output
Its magnetic moment is 1.04 μB per formula unit. For the energy relative to the lowest polymorph listed for this composition, the calculation gives 792 meV per atom. The calculation puts the formation energy from raw total energies at 0.178 eV per atom. The density comes out at 4.16 g/cm³.

Structure (CIF):
```
data_RbTePbI2
_chemical_formula_sum 'Rb1 Te1 Pb1 I2'
_cell_length_a 6.447
_cell_length_b 6.447
_cell_length_c 6.481
_cell_angle_alpha 90.00
_cell_angle_beta 90.00
_cell_angle_gamma 90.00
_space_group_name_H-M_alt 'P 4/m m m'
_space_group_IT_number 123
_space_group_name_Hall '-P 4 2'
loop_
_atom_site_label
_atom_site_type_symbol
_atom_site_fract_x
_atom_site_fract_y
_atom_site_fract_z
_atom_site_occupancy
Rb1 Rb 0.000 0.000 0.000 1
Te1 Te 0.000 0.000 0.500 1
Pb1 Pb 0.500 0.500 0.500 1
I1 I 0.000 0.500 0.000 1
```

***

First-principles (PBE-GGA) data for an optimized crystal structure of Pr6TlNi2Br3, as listed in Alexandria.

Output
Its magnetic moment is 0.00 μB per formula unit. The calculation puts the formation energy from raw total energies at -0.754 eV per atom. The density comes out at 6.49 g/cm³.

Structure (CIF):
```
data_Pr6TlNi2Br3
_chemical_formula_sum 'Pr12 Tl2 Ni4 Br6'
_cell_length_a 19.682
_cell_length_b 4.089
_cell_length_c 9.332
_cell_angle_alpha 90.00
_cell_angle_beta 106.42
_cell_angle_gamma 90.00
_space_group_name_H-M_alt 'C 1 2/m 1'
_space_group_IT_number 12
loop_
_space_group_symop_operation_xyz
'x,y,z'
'-x,-y,-z'
'-x,y,-z'
'x,-y,z'
'x+1/2,y+1/2,z'
'-x+1/2,-y+1/2,-z'
'-x+1/2,y+1/2,-z'
'x+1/2,-y+1/2,z'
loop_
_atom_site_label
_atom_site_type_symbol
_atom_site_fract_x
_atom_site_fract_y
_atom_site_fract_z
_atom_site_occupancy
Pr1 Pr 0.017 0.000 0.264 1
Pr2 Pr 0.167 0.500 0.135 1
Pr3 Pr 0.179 0.500 0.556 1
Tl1 Tl 0.000 0.500 0.000 1
Ni1 Ni 0.169 0.000 0.344 1
Br1 Br 0.000 0.500 0.500 1
Br2 Br 0.164 0.000 0.836 1
```